Computed, not measured: a relaxed KLa2Cd crystal at the PBE-GGA level of DFT.

Cell: 3.8872 3.8872 10.4284 Å, 90.00 90.00 90.00°
Positions (direct):
K: 0.0000 0.0000 0.0000
La: 0.0000 0.0000 0.5742
La: 0.5000 0.5000 0.3436
Cd: 0.5000 0.5000 0.7548

## Properties
Raw total energy: -2.942 eV/atom
Energy relative to the elements: 0.025 eV per atom
Space group: P4mm